(1)
RbSm2CuTe4 after structural relaxation, computed with GGA-PBE.

Cell: 8.048 8.048 15.597 Å, 90.00 90.00 147.83°
Fractional positions:
1 Rb 0.109 0.891 0.750
2 Rb 0.891 0.109 0.250
3 Sm 0.365 0.635 0.564
4 Sm 0.365 0.635 0.936
5 Sm 0.635 0.365 0.064
6 Sm 0.635 0.365 0.436
7 Cu 0.161 0.839 0.250
8 Cu 0.839 0.161 0.750
9 Te 0.000 0.000 0.000
10 Te 0.000 0.000 0.500
11 Te 0.266 0.734 0.114
12 Te 0.266 0.734 0.386
13 Te 0.432 0.568 0.750
14 Te 0.568 0.432 0.250
15 Te 0.734 0.266 0.614
16 Te 0.734 0.266 0.886

- Space group: No. 63
- DFT total energy: -72.0 eV for the cell shown

(2)
Ho3Mg3Ir2Pt after structural relaxation, computed with GGA-PBE.

Cell: 7.300 7.300 4.027 Å, 90.00 90.00 120.00°
Fractional positions:
1 Ho 0.000 0.413 0.000
2 Ho 0.413 0.000 0.000
3 Ho 0.587 0.587 0.000
4 Mg 0.000 0.752 0.500
5 Mg 0.248 0.248 0.500
6 Mg 0.752 0.000 0.500
7 Ir 0.333 0.667 0.500
8 Ir 0.667 0.333 0.500
9 Pt 0.000 0.000 0.000

- Space group: No. 189
- DFT total energy: -49.3 eV for the cell shown

(3)
MgScTlFe after structural relaxation, computed with GGA-PBE.

Cell: 4.756 4.756 4.756 Å, 60.00 60.00 60.00°
Fractional positions:
1 Mg 0.000 0.000 0.000
2 Sc 0.250 0.250 0.250
3 Tl 0.500 0.500 0.500
4 Fe 0.750 0.750 0.750

- Space group: No. 216
- DFT total energy: -18.0 eV for the cell shown

(4)
RbGdFeTe3 after structural relaxation, computed with GGA-PBE.

Cell: 8.573 8.573 11.531 Å, 90.00 90.00 150.30°
Fractional positions:
1 Rb 0.248 0.752 0.750
2 Rb 0.752 0.248 0.250
3 Gd 0.500 0.500 0.000
4 Gd 0.500 0.500 0.500
5 Fe 0.031 0.969 0.250
6 Fe 0.969 0.031 0.750
7 Te 0.124 0.876 0.066
8 Te 0.124 0.876 0.434
9 Te 0.434 0.566 0.250
10 Te 0.566 0.434 0.750
11 Te 0.876 0.124 0.566
12 Te 0.876 0.124 0.934

- Space group: No. 63
- DFT total energy: -57.2 eV for the cell shown

(5)
ZnSb after structural relaxation, computed with GGA-PBE.

Cell: 5.198 7.297 4.772 Å, 90.00 90.00 90.00°
Fractional positions:
1 Zn 0.000 0.000 0.000
2 Zn 0.000 0.187 0.502
3 Zn 0.000 0.813 0.502
4 Zn 0.500 0.000 0.675
5 Sb 0.000 0.500 0.882
6 Sb 0.500 0.220 0.182
7 Sb 0.500 0.500 0.617
8 Sb 0.500 0.780 0.182

- Space group: No. 25
- DFT total energy: -20.0 eV for the cell shown

(6)
Y2HoCd3AgHg2 after structural relaxation, computed with GGA-PBE.

Cell: 4.027 7.862 7.862 Å, 119.95 90.00 90.00°
Fractional positions:
1 Y 0.000 0.203 0.797
2 Y 0.000 0.797 0.203
3 Ho 0.000 0.608 0.608
4 Cd 0.500 0.203 0.458
5 Cd 0.500 0.458 0.203
6 Cd 0.500 0.948 0.948
7 Ag 0.000 0.204 0.204
8 Hg 0.500 0.537 0.868
9 Hg 0.500 0.868 0.537

- Space group: No. 38
- DFT total energy: -27.3 eV for the cell shown
- E_form: -9.45 kcal/mol of atoms

(7)
RbLuCu after structural relaxation, computed with GGA-PBE.

Cell: 5.171 5.171 5.171 Å, 60.00 60.00 60.00°
Fractional positions:
1 Rb 0.000 0.000 0.000
2 Lu 0.500 0.500 0.500
3 Cu 0.750 0.750 0.750

- Space group: No. 216
- DFT total energy: -7.0 eV for the cell shown

(8)
Y3Ho3Sb2Os after structural relaxation, computed with GGA-PBE.

Cell: 8.177 8.177 4.210 Å, 90.00 90.00 120.00°
Fractional positions:
1 Y 0.000 0.605 0.000
2 Y 0.395 0.395 0.000
3 Y 0.605 0.000 0.000
4 Ho 0.000 0.236 0.500
5 Ho 0.236 0.000 0.500
6 Ho 0.764 0.764 0.500
7 Sb 0.333 0.667 0.500
8 Sb 0.667 0.333 0.500
9 Os 0.000 0.000 0.000

- Space group: No. 189
- DFT total energy: -58.8 eV for the cell shown